# NaTb2WO6, relaxed, DFT PBE with a Hubbard U
# * E: -7.52 eV/atom
data_NaTb2WO6
_symmetry_space_group_name_H-M 'P 1'
_symmetry_Int_Tables_number 1
_cell_length_a 5.6710
_cell_length_b 5.7127
_cell_length_c 5.9948
_cell_angle_alpha 61.66
_cell_angle_beta 62.64
_cell_angle_gamma 60.25
loop_
_symmetry_equiv_pos_as_xyz
'x,y,z'
loop_
_atom_site_label
_atom_site_fract_x
_atom_site_fract_y
_atom_site_fract_z
Na1 0.0000 0.0000 0.0000
Tb1 0.2203 0.2106 0.3415
Tb2 0.7262 0.7302 0.8204
W1 0.5163 0.5213 0.4383
O1 0.1532 0.7756 0.6382
O2 0.3386 0.5947 0.1808
O3 0.4191 0.1579 0.6390
O4 0.5945 0.8900 0.1665
O5 0.7616 0.4331 0.6328
O6 0.8823 0.3382 0.1751